Pm8Si2Rh | GGA-PBE | relaxed

a = 9.7763 Å, b = 9.7763 Å, c = 6.9784 Å
α = 101.94°, β = 101.94°, γ = 28.22°
Fractional positions:
Pm 0.0214 0.0214 0.2823
Pm 0.2159 0.2159 0.8307
Pm 0.3449 0.3449 0.5029
Pm 0.4039 0.4039 0.0184
Pm 0.5961 0.5961 0.9816
Pm 0.6551 0.6551 0.4971
Pm 0.7841 0.7841 0.1693
Pm 0.9786 0.9786 0.7177
Si 0.1827 0.1827 0.2492
Si 0.8173 0.8173 0.7508
Rh 0.5000 0.5000 0.5000

Results
Its uncorrected formation energy is -0.38 eV per atom. The density of states at the Fermi level is 0.91 states/eV/atom. The space group is C2/m, No. 12. As for the total magnetization: 0.0 μB per cell. For the total energy, the calculation gives -5.4879 eV/atom.